# 1
DFT (PBE-GGA) results for a geometry-optimized TePI3 structure.

## Properties
Space-group type: Pm-3m, No. 221
ΔE to the lowest computed polymorph in eV/f.u.: 0.00

Cell: 5.565 5.565 5.565 Å, 90.00 90.00 90.00°
Each line ends with the local moment (μB).
Atoms (fractional coordinates):
I: 0.000 0.500 0.000  0.07
I: 0.000 0.000 0.500  0.10
I: 0.500 0.000 0.000  0.11
P: 0.000 0.000 0.000  -0.05
Te: 0.500 0.500 0.500  0.89

=====

# 2
DFT (PBE-GGA) results for a geometry-optimized TeP2I structure.

## Properties
Space-group type: Fm-3m, No. 225
ΔE to the lowest computed polymorph in eV/f.u.: 0.93

Cell: 5.012 5.012 5.012 Å, 60.00 60.00 60.00°
Atoms (fractional coordinates):
I: 0.500 0.500 0.500
P: 0.250 0.250 0.250
P: 0.750 0.750 0.750
Te: 0.000 0.000 0.000

=====

# 3
DFT (PBE-GGA) results for a geometry-optimized TePI structure.

## Properties
Space-group type: Cm, No. 8

Cell: 7.538 3.962 6.856 Å, 90.00 107.44 90.00°
Atoms (fractional coordinates):
Te: 0.613 0.000 0.239
Te: 0.613 0.500 0.739
P: 0.819 0.000 0.974
P: 0.819 0.500 0.474
I: 0.078 0.000 0.725
I: 0.078 0.500 0.225

=====

# 4
DFT (PBE-GGA) results for a geometry-optimized TePI3 structure.

## Properties
Space-group type: Pm-3m, No. 221
ΔE to the lowest computed polymorph in eV/f.u.: 1.01

Cell: 6.049 6.049 6.049 Å, 90.00 90.00 90.00°
Each line ends with the local moment (μB).
Atoms (fractional coordinates):
I: 0.000 0.500 0.000  0.01
I: 0.000 0.000 0.500  -0.01
I: 0.500 0.000 0.000  0.02
P: 0.500 0.500 0.500  1.14
Te: 0.000 0.000 0.000  -0.04

=====

| no. | VASP energy (eV/atom) | uncorrected formation energy (eV/atom) |
| --- | --- | --- |
| 1 | -2.1866 | 0.454 |
| 2 | -2.9806 | 0.897 |
| 3 | -3.2863 | 0.081 |
| 4 | -1.9846 | 0.656 |